1.
Density functional theory data (GGA-PBE) for a relaxed RuIN3 crystal.

Cell lengths 3.9541, 3.9541, 3.9541 Å; angles 90.00, 90.00, 90.00 degrees
Closest atoms and distances in Å follow each position.
Space group Pm-3m (No. 221)
One atom of each set of equivalent atoms:
Ru  0.0000  0.0000  0.0000 x1  6 N 1.98
I  0.5000  0.5000  0.5000 x1  12 N 2.80
N  0.0000  0.0000  0.5000 x3  2 Ru 1.98

Results
Fermi-level density of states (states/eV per cell): 3.72
Formation energy (no corrections) (eV/atom): 1.522

2.
Density functional theory data (GGA-PBE) for a relaxed RuIN3 crystal.

Cell lengths 3.9763, 3.9763, 3.9763 Å; angles 90.00, 90.00, 90.00 degrees
Closest atoms and distances in Å follow each position.
Space group Pm-3m (No. 221)
One atom of each set of equivalent atoms:
Ru  0.0000  0.0000  0.0000 x1  12 N 2.81
I  0.5000  0.5000  0.5000 x1  6 N 1.99
N  0.0000  0.5000  0.5000 x3  2 I 1.99

Results
Fermi-level density of states (states/eV per cell): 4.15
Formation energy (no corrections) (eV/atom): 2.700

3.
Density functional theory data (GGA-PBE) for a relaxed RuI2N2 crystal.

Cell lengths 3.9814, 3.9814, 7.8767 Å; angles 90.00, 90.00, 90.00 degrees
Closest atoms and distances in Å follow each position.
Space group P4/mmm (No. 123)
One atom of each set of equivalent atoms:
Ru  0.0000  0.0000  0.0000 x1  4 I 2.82
I  0.5000  0.5000  0.0000 x1  4 Ru 2.82
I  0.5000  0.5000  0.5000 x1  4 N 1.99
N  0.0000  0.5000  0.5000 x2  2 I 1.99

Results
Fermi-level density of states (states/eV per cell): 5.80
Excess energy over the best structure of this formula in the dataset (meV per atom): 914
Formation energy (no corrections) (eV/atom): 2.206

4.
Density functional theory data (GGA-PBE) for a relaxed Ru3IN crystal.

Cell lengths 4.1735, 4.1735, 4.1735 Å; angles 90.00, 90.00, 90.00 degrees
Closest atoms and distances in Å follow each position.
Space group Pm-3m (No. 221)
One atom of each set of equivalent atoms:
Ru  0.0000  0.0000  0.5000 x3  2 N 2.09
I  0.5000  0.5000  0.5000 x1  12 Ru 2.95
N  0.0000  0.0000  0.0000 x1  6 Ru 2.09

Results
Fermi-level density of states (states/eV per cell): 3.58
Excess energy over the best structure of this formula in the dataset (meV per atom): 0
Formation energy (no corrections) (eV/atom): 0.803

5.
Density functional theory data (GGA-PBE) for a relaxed Ru3IN crystal.

Cell lengths 4.8760, 4.8760, 4.8760 Å; angles 90.00, 90.00, 90.00 degrees
Closest atoms and distances in Å follow each position.
Space group Pm-3m (No. 221)
One atom of each set of equivalent atoms:
Ru  0.0000  0.0000  0.5000 x3  2 I 2.44
I  0.0000  0.0000  0.0000 x1  6 Ru 2.44
N  0.5000  0.5000  0.5000 x1  12 Ru 3.45

Results
Fermi-level density of states (states/eV per cell): 3.65
Excess energy over the best structure of this formula in the dataset (meV per atom): 2130
Formation energy (no corrections) (eV/atom): 2.933

6.
Density functional theory data (GGA-PBE) for a relaxed Ru2IN crystal.

Cell lengths 6.1149, 6.1149, 6.1149 Å; angles 90.00, 90.00, 90.00 degrees
Closest atoms and distances in Å follow each position.
Space group Fm-3m (No. 225)
One atom of each set of equivalent atoms:
Ru  0.2500  0.2500  0.2500 x8  4 I 2.65, 4 N 2.65
I  0.0000  0.0000  0.0000 x4  8 Ru 2.65
N  0.0000  0.0000  0.5000 x4  8 Ru 2.65

Results
Fermi-level density of states (states/eV per cell): 10.97
Excess energy over the best structure of this formula in the dataset (meV per atom): 900
Formation energy (no corrections) (eV/atom): 1.433

7.
Density functional theory data (GGA-PBE) for a relaxed RuI2N2 crystal.

Cell lengths 5.6061, 5.6061, 3.6834 Å; angles 90.00, 90.00, 90.00 degrees
Closest atoms and distances in Å follow each position.
Space group P4/mmm (No. 123)
One atom of each set of equivalent atoms:
Ru  0.0000  0.0000  0.0000 x1  2 N 1.84
I  0.0000  0.5000  0.0000 x2  2 Ru 2.80
N  0.0000  0.0000  0.5000 x1  2 Ru 1.84
N  0.5000  0.5000  0.5000 x1  8 I 3.35, 2 N 3.68

Results
Fermi-level density of states (states/eV per cell): 3.66
Excess energy over the best structure of this formula in the dataset (meV per atom): 64
Formation energy (no corrections) (eV/atom): 1.355

8.
Density functional theory data (GGA-PBE) for a relaxed RuS2IN crystal.

Cell lengths 5.1731, 5.1731, 3.8901 Å; angles 90.00, 90.00, 90.00 degrees
Closest atoms and distances in Å follow each position.
Space group P4/mmm (No. 123)
One atom of each set of equivalent atoms:
Ru  0.0000  0.0000  0.0000 x1  8 S 3.24
S  0.0000  0.5000  0.5000 x2  2 I 2.59
I  0.5000  0.5000  0.5000 x1  2 N 1.95
N  0.5000  0.5000  0.0000 x1  2 I 1.95

Results
Fermi-level density of states (states/eV per cell): 5.69
Excess energy over the best structure of this formula in the dataset (meV per atom): 1311
Formation energy (no corrections) (eV/atom): 1.891

9.
Density functional theory data (GGA-PBE) for a relaxed RuSI2N crystal.

Cell lengths 5.5081, 5.5081, 3.6952 Å; angles 90.00, 90.00, 90.00 degrees
Closest atoms and distances in Å follow each position.
Space group P4/mmm (No. 123)
One atom of each set of equivalent atoms:
Ru  0.0000  0.0000  0.0000 x1  2 N 1.85
S  0.5000  0.5000  0.5000 x1  8 I 3.32, 2 S 3.70
I  0.0000  0.5000  0.0000 x2  2 Ru 2.75
N  0.0000  0.0000  0.5000 x1  2 Ru 1.85

Results
Fermi-level density of states (states/eV per cell): 3.87
Excess energy over the best structure of this formula in the dataset (meV per atom): 0
Formation energy (no corrections) (eV/atom): 0.707

10.
Density functional theory data (GGA-PBE) for a relaxed RuS2IN crystal.

Cell lengths 4.9193, 4.9193, 3.7131 Å; angles 90.00, 90.00, 90.00 degrees
Closest atoms and distances in Å follow each position.
Space group P4/mmm (No. 123)
One atom of each set of equivalent atoms:
Ru  0.0000  0.0000  0.0000 x1  2 N 1.86
S  0.0000  0.5000  0.0000 x2  2 Ru 2.46
I  0.5000  0.5000  0.5000 x1  8 S 3.08
N  0.0000  0.0000  0.5000 x1  2 Ru 1.86

Results
Fermi-level density of states (states/eV per cell): 2.92
Excess energy over the best structure of this formula in the dataset (meV per atom): 0
Formation energy (no corrections) (eV/atom): 0.581

11.
Density functional theory data (GGA-PBE) for a relaxed RuSI2N crystal.

Cell lengths 5.5280, 5.5280, 3.3347 Å; angles 90.00, 90.00, 90.00 degrees
Closest atoms and distances in Å follow each position.
Space group P4/mmm (No. 123)
One atom of each set of equivalent atoms:
Ru  0.0000  0.0000  0.0000 x1  8 I 3.23, 2 Ru 3.33
S  0.5000  0.5000  0.5000 x1  2 N 1.67
I  0.0000  0.5000  0.5000 x2  2 S 2.76
N  0.5000  0.5000  0.0000 x1  2 S 1.67

Results
Fermi-level density of states (states/eV per cell): 4.75
Excess energy over the best structure of this formula in the dataset (meV per atom): 704
Formation energy (no corrections) (eV/atom): 1.412

12.
Density functional theory data (GGA-PBE) for a relaxed Sb2RuIN crystal.

Cell lengths 5.0431, 5.0431, 5.8603 Å; angles 90.00, 90.00, 90.00 degrees
Closest atoms and distances in Å follow each position.
Space group P4/mmm (No. 123)
One atom of each set of equivalent atoms:
Sb  0.0000  0.5000  0.0000 x2  2 Ru 2.52
Ru  0.0000  0.0000  0.0000 x1  4 Sb 2.52
I  0.0000  0.0000  0.5000 x1  2 Ru 2.93
N  0.5000  0.5000  0.5000 x1  4 I 3.57, 8 Sb 3.87

Results
Fermi-level density of states (states/eV per cell): 2.83
Excess energy over the best structure of this formula in the dataset (meV per atom): 196
Formation energy (no corrections) (eV/atom): 1.322